# 1
First-principles (PBE) data for a relaxed structure of PmBIr4, as listed in Alexandria.

Cell: 5.041 5.041 8.670 Å, 90.00 90.00 90.00°
Fractional coordinates of all 12 atoms:
1 Pm 0.000 0.000 0.500
2 Pm 0.500 0.500 0.000
3 B 0.000 0.000 0.000
4 B 0.500 0.500 0.500
5 Ir 0.254 0.000 0.194
6 Ir 0.746 0.000 0.194
7 Ir 0.000 0.746 0.806
8 Ir 0.000 0.254 0.806
9 Ir 0.500 0.246 0.694
10 Ir 0.754 0.500 0.306
11 Ir 0.246 0.500 0.306
12 Ir 0.500 0.754 0.694

## Properties
Space group: P4_2/nmc (137)
DFT formation energy, kJ/mol of formula units: 41
E, eV per atom: -7.741
Crystal system: tetragonal


# 2
First-principles (PBE) data for a relaxed structure of Be2CuSe, as listed in Alexandria.

Cell: 3.197 3.197 4.837 Å, 90.00 90.00 90.00°
Fractional coordinates of all 4 atoms:
1 Be 0.000 0.000 0.003
2 Be 0.000 0.000 0.497
3 Cu 0.500 0.500 0.250
4 Se 0.500 0.500 0.750

## Properties
Space group: P4/mmm (123)
E, eV per atom: -3.484
Raw formation energy, eV per atom: 0.275
Crystal system: tetragonal


# 3
First-principles (PBE) data for a relaxed structure of Pr6CoI12, as listed in Alexandria.

Cell: 9.261 9.261 9.261 Å, 75.33 75.33 75.33°
Fractional coordinates of all 19 atoms:
1 Pr 0.219 0.819 0.219
2 Pr 0.181 0.781 0.781
3 Pr 0.781 0.781 0.181
4 Pr 0.781 0.181 0.781
5 Pr 0.819 0.219 0.219
6 Pr 0.219 0.219 0.819
7 Co 0.000 0.000 0.000
8 I 0.552 0.174 0.552
9 I 0.174 0.552 0.552
10 I 0.552 0.552 0.174
11 I 0.448 0.826 0.448
12 I 0.826 0.448 0.448
13 I 0.448 0.448 0.826
14 I 0.570 0.111 0.111
15 I 0.889 0.430 0.889
16 I 0.889 0.889 0.430
17 I 0.430 0.889 0.889
18 I 0.111 0.570 0.111
19 I 0.111 0.111 0.570

## Properties
Space group: R-3m (166)
E, eV per atom: -3.860
Raw formation energy, eV per atom: -0.997
Crystal system: trigonal